1.
# HoTm2Cd3 | Alexandria via LeMat-Bulk | PBE | optimized geometry
data_HoTm2Cd3
_cell_length_a 5.235
_cell_length_b 5.235
_cell_length_c 6.433
_cell_angle_alpha 90.00
_cell_angle_beta 90.00
_cell_angle_gamma 120.00
_symmetry_space_group_name_H-M 'P 1'
_symmetry_Int_Tables_number 1
loop_
_symmetry_equiv_pos_as_xyz
'x,y,z'
loop_
_atom_site_label
_atom_site_fract_x
_atom_site_fract_y
_atom_site_fract_z
Ho1 0.000 0.000 0.000
Cd1 0.333 0.667 0.166
Tm1 0.333 0.667 0.664
Cd2 0.667 0.333 0.834
Cd3 0.000 0.000 0.500
Tm2 0.667 0.333 0.336
# Energy of formation from the pure elements in eV/atom: -0.314
# N(E_F) in states/eV/atom: 0.85
# Space group: P-3m1
# Mass density in g/cm3: 9.1



2.
# GaAgPb | Alexandria via LeMat-Bulk | PBE | optimized geometry
data_GaAgPb
_cell_length_a 6.018
_cell_length_b 3.536
_cell_length_c 7.267
_cell_angle_alpha 75.63
_cell_angle_beta 66.68
_cell_angle_gamma 89.76
_symmetry_space_group_name_H-M 'P 1'
_symmetry_Int_Tables_number 1
loop_
_symmetry_equiv_pos_as_xyz
'x,y,z'
loop_
_atom_site_label
_atom_site_fract_x
_atom_site_fract_y
_atom_site_fract_z
Ga1 0.727 0.449 0.287
Pb1 0.142 0.122 0.921
Ag1 0.167 0.444 0.304
Pb2 0.771 0.763 0.668
Ga2 0.350 0.837 0.515
Ag2 0.572 0.067 0.060
# Energy of formation from the pure elements in eV/atom: 0.056
# N(E_F) in states/eV/atom: 0.33
# Space group: P1
# Mass density in g/cm3: 9.3



3.
# MnFeReGe | Alexandria via LeMat-Bulk | PBE | optimized geometry
data_MnFeReGe
_cell_length_a 4.173
_cell_length_b 4.173
_cell_length_c 4.173
_cell_angle_alpha 60.00
_cell_angle_beta 60.00
_cell_angle_gamma 60.00
_symmetry_space_group_name_H-M 'P 1'
_symmetry_Int_Tables_number 1
loop_
_symmetry_equiv_pos_as_xyz
'x,y,z'
loop_
_atom_site_label
_atom_site_fract_x
_atom_site_fract_y
_atom_site_fract_z
Re1 0.500 0.500 0.500
Ge1 0.250 0.250 0.250
Fe1 0.000 0.000 0.000
Mn1 0.750 0.750 0.750
# Energy of formation from the pure elements in eV/atom: 0.024
# N(E_F) in states/eV/atom: 0.47
# Space group: F-43m
# Mass density in g/cm3: 11.9



4.
# La2Ag3Pd | Alexandria via LeMat-Bulk | PBE | optimized geometry
data_La2Ag3Pd
_cell_length_a 3.758
_cell_length_b 4.852
_cell_length_c 8.118
_cell_angle_alpha 90.00
_cell_angle_beta 90.00
_cell_angle_gamma 90.00
_symmetry_space_group_name_H-M 'P 1'
_symmetry_Int_Tables_number 1
loop_
_symmetry_equiv_pos_as_xyz
'x,y,z'
loop_
_atom_site_label
_atom_site_fract_x
_atom_site_fract_y
_atom_site_fract_z
Ag1 0.500 0.000 0.166
La1 0.000 0.500 0.023
Ag2 0.500 0.500 0.668
Ag3 0.500 0.000 0.829
Pd1 0.500 0.500 0.328
La2 0.000 0.000 0.486
# Energy of formation from the pure elements in eV/atom: -0.417
# N(E_F) in states/eV/atom: 0.77
# Space group: Pmm2
# Mass density in g/cm3: 7.9



5.
# Ni2IrBr6 | Alexandria via LeMat-Bulk | PBE | optimized geometry
data_Ni2IrBr6
_cell_length_a 3.673
_cell_length_b 7.068
_cell_length_c 11.362
_cell_angle_alpha 117.03
_cell_angle_beta 90.00
_cell_angle_gamma 105.06
_symmetry_space_group_name_H-M 'P 1'
_symmetry_Int_Tables_number 1
loop_
_symmetry_equiv_pos_as_xyz
'x,y,z'
loop_
_atom_site_label
_atom_site_fract_x
_atom_site_fract_y
_atom_site_fract_z
Ir1 0.000 0.000 0.500
Br1 0.639 0.278 0.549
Br2 0.326 0.651 0.925
Br3 0.674 0.349 0.075
Br4 0.042 0.084 0.742
Br5 0.958 0.916 0.258
Ni1 0.314 0.627 0.143
Ni2 0.686 0.373 0.857
Br6 0.361 0.722 0.451
# N(E_F) in states/eV/atom: 0.31
# Energy relative to the elements, uncorrected in eV per atom: -0.214
# Space group: C2/m
# Mass density in g/cm3: 5.2



6.
# Ba2Zn4AgGe3 | Alexandria via LeMat-Bulk | PBE | optimized geometry
data_Ba2Zn4AgGe3
_cell_length_a 4.568
_cell_length_b 4.568
_cell_length_c 10.777
_cell_angle_alpha 90.00
_cell_angle_beta 90.00
_cell_angle_gamma 90.00
_symmetry_space_group_name_H-M 'P 1'
_symmetry_Int_Tables_number 1
loop_
_symmetry_equiv_pos_as_xyz
'x,y,z'
loop_
_atom_site_label
_atom_site_fract_x
_atom_site_fract_y
_atom_site_fract_z
Zn1 0.500 0.500 0.000
Ge1 0.500 0.000 0.871
Zn2 0.000 0.500 0.371
Ge2 0.000 0.500 0.129
Zn3 0.500 0.000 0.629
Ba1 0.000 0.500 0.755
Ag1 0.500 0.500 0.500
Ba2 0.500 0.000 0.245
Zn4 0.000 0.000 0.000
Ge3 0.000 0.000 0.500
# Energy of formation from the pure elements in eV/atom: -0.341
# N(E_F) in states/eV/atom: 0.40
# Space group: P-4m2
# Mass density in g/cm3: 6.4



7.
# AlAsIr2 | Alexandria via LeMat-Bulk | PBE | optimized geometry
data_AlAsIr2
_cell_length_a 8.267
_cell_length_b 8.267
_cell_length_c 8.267
_cell_angle_alpha 20.30
_cell_angle_beta 20.30
_cell_angle_gamma 20.30
_symmetry_space_group_name_H-M 'P 1'
_symmetry_Int_Tables_number 1
loop_
_symmetry_equiv_pos_as_xyz
'x,y,z'
loop_
_atom_site_label
_atom_site_fract_x
_atom_site_fract_y
_atom_site_fract_z
As1 0.750 0.750 0.750
Ir1 0.501 0.501 0.501
Al1 0.250 0.250 0.250
Ir2 0.999 0.999 0.999
# Energy of formation from the pure elements in eV/atom: -0.304
# N(E_F) in states/eV/atom: 0.26
# Space group: R-3m
# Excess energy over the best structure of this formula in the dataset in eV/atom: 0.018
# Mass density in g/cm3: 13.6



8.
# La2Er3Th4 | Alexandria via LeMat-Bulk | PBE | optimized geometry
data_La2Er3Th4
_cell_length_a 3.607
_cell_length_b 9.726
_cell_length_c 9.521
_cell_angle_alpha 114.96
_cell_angle_beta 100.92
_cell_angle_gamma 90.00
_symmetry_space_group_name_H-M 'P 1'
_symmetry_Int_Tables_number 1
loop_
_symmetry_equiv_pos_as_xyz
'x,y,z'
loop_
_atom_site_label
_atom_site_fract_x
_atom_site_fract_y
_atom_site_fract_z
Er1 0.853 0.336 0.707
Th1 0.525 0.336 0.049
La1 0.663 0.999 0.326
Th2 0.816 0.660 0.631
Th3 0.475 0.664 0.951
Th4 0.184 0.340 0.369
La2 0.337 0.001 0.674
Er2 0.147 0.664 0.293
Er3 0.000 0.000 0.000
# Energy of formation from the pure elements in eV/atom: 0.054
# N(E_F) in states/eV/atom: 1.63
# Space group: C2/m
# Mass density in g/cm3: 9.6



9.
# K4ErU3O12 | Alexandria via LeMat-Bulk | PBE | optimized geometry
data_K4ErU3O12
_cell_length_a 7.468
_cell_length_b 7.468
_cell_length_c 7.468
_cell_angle_alpha 109.47
_cell_angle_beta 109.47
_cell_angle_gamma 109.47
_symmetry_space_group_name_H-M 'P 1'
_symmetry_Int_Tables_number 1
loop_
_symmetry_equiv_pos_as_xyz
'x,y,z'
loop_
_atom_site_label
_atom_site_fract_x
_atom_site_fract_y
_atom_site_fract_z
O1 0.264 0.264 0.000
K1 0.000 0.500 0.000
O2 0.500 0.750 0.250
U1 0.000 0.500 0.500
O3 0.264 0.000 0.264
Er1 0.000 0.000 0.000
O4 0.250 0.500 0.750
O5 0.000 0.736 0.736
K2 0.500 0.000 0.000
O6 0.250 0.750 0.500
O7 0.736 0.000 0.736
K3 0.500 0.500 0.500
O8 0.736 0.736 0.000
K4 0.000 0.000 0.500
O9 0.500 0.250 0.750
U2 0.500 0.000 0.500
U3 0.500 0.500 0.000
O10 0.000 0.264 0.264
O11 0.750 0.250 0.500
O12 0.750 0.500 0.250
# N(E_F) in states/eV/atom: 0.41
# Energy relative to the elements, uncorrected in eV per atom: -2.928
# Space group: Im-3m
# Mass density in g/cm3: 6.4



10.
# Sr2LiSi | Alexandria via LeMat-Bulk | PBE | optimized geometry
data_Sr2LiSi
_cell_length_a 4.022
_cell_length_b 3.796
_cell_length_c 9.087
_cell_angle_alpha 65.27
_cell_angle_beta 90.00
_cell_angle_gamma 90.00
_symmetry_space_group_name_H-M 'P 1'
_symmetry_Int_Tables_number 1
loop_
_symmetry_equiv_pos_as_xyz
'x,y,z'
loop_
_atom_site_label
_atom_site_fract_x
_atom_site_fract_y
_atom_site_fract_z
Li1 0.500 0.250 0.250
Sr1 0.000 0.036 0.963
Sr2 0.000 0.464 0.537
Si1 0.500 0.750 0.750
# N(E_F) in states/eV/atom: 0.51
# Energy relative to the elements, uncorrected in eV per atom: -0.133
# Space group: Pmmm
# Mass density in g/cm3: 2.8



11.
# Zr3VBr | Alexandria via LeMat-Bulk | PBE | optimized geometry
data_Zr3VBr
_cell_length_a 4.979
_cell_length_b 4.979
_cell_length_c 4.979
_cell_angle_alpha 90.00
_cell_angle_beta 90.00
_cell_angle_gamma 90.00
_symmetry_space_group_name_H-M 'P 1'
_symmetry_Int_Tables_number 1
loop_
_symmetry_equiv_pos_as_xyz
'x,y,z'
loop_
_atom_site_label
_atom_site_fract_x
_atom_site_fract_y
_atom_site_fract_z
Zr1 0.500 0.000 0.000
Zr2 0.000 0.000 0.500
Zr3 0.000 0.500 0.000
Br1 0.500 0.500 0.500
V1 0.000 0.000 0.000
# N(E_F) in states/eV/atom: 1.63
# Energy relative to the elements, uncorrected in eV per atom: 0.659
# Space group: Pm-3m
# Excess energy over the best structure of this formula in the dataset in eV/atom: 0.005
# Mass density in g/cm3: 5.4



12.
# ZrIn2Tc | Alexandria via LeMat-Bulk | PBE | optimized geometry
data_ZrIn2Tc
_cell_length_a 7.791
_cell_length_b 7.791
_cell_length_c 6.216
_cell_angle_alpha 51.19
_cell_angle_beta 51.19
_cell_angle_gamma 90.00
_symmetry_space_group_name_H-M 'P 1'
_symmetry_Int_Tables_number 1
loop_
_symmetry_equiv_pos_as_xyz
'x,y,z'
loop_
_atom_site_label
_atom_site_fract_x
_atom_site_fract_y
_atom_site_fract_z
Zr1 0.500 0.500 0.000
In1 0.875 0.900 0.750
Tc1 0.750 0.250 0.500
In2 0.100 0.625 0.250
Zr2 0.250 0.750 0.500
In3 0.375 0.350 0.750
In4 0.650 0.125 0.250
Tc2 0.000 0.000 0.000
# Energy of formation from the pure elements in eV/atom: 0.355
# N(E_F) in states/eV/atom: 0.58
# Space group: I-42d
# Excess energy over the best structure of this formula in the dataset in eV/atom: 0.413
# Mass density in g/cm3: 8.0



13.
# LaMoN3 | Alexandria via LeMat-Bulk | PBE | optimized geometry
data_LaMoN3
_cell_length_a 3.229
_cell_length_b 6.824
_cell_length_c 6.645
_cell_angle_alpha 105.33
_cell_angle_beta 104.05
_cell_angle_gamma 76.33
_symmetry_space_group_name_H-M 'P 1'
_symmetry_Int_Tables_number 1
loop_
_symmetry_equiv_pos_as_xyz
'x,y,z'
loop_
_atom_site_label
_atom_site_fract_x
_atom_site_fract_y
_atom_site_fract_z
N1 0.514 0.975 0.122
N2 0.083 0.658 0.943
N3 0.321 0.491 0.253
La1 0.056 0.162 0.393
N4 0.632 0.312 0.695
N5 0.390 0.080 0.980
Mo1 0.224 0.341 0.909
La2 0.419 0.690 0.647
N6 0.743 0.855 0.460
Mo2 0.686 0.681 0.172
# N(E_F) in states/eV/atom: 0.12
# Energy relative to the elements, uncorrected in eV per atom: -0.652
# Space group: Cm
# Mass density in g/cm3: 6.8



14.
# Li2AlRe | Alexandria via LeMat-Bulk | PBE | optimized geometry
data_Li2AlRe
_cell_length_a 9.569
_cell_length_b 9.569
_cell_length_c 9.569
_cell_angle_alpha 16.33
_cell_angle_beta 16.33
_cell_angle_gamma 16.33
_symmetry_space_group_name_H-M 'P 1'
_symmetry_Int_Tables_number 1
loop_
_symmetry_equiv_pos_as_xyz
'x,y,z'
loop_
_atom_site_label
_atom_site_fract_x
_atom_site_fract_y
_atom_site_fract_z
Li1 0.997 0.997 0.997
Al1 0.750 0.750 0.750
Re1 0.250 0.250 0.250
Li2 0.503 0.503 0.503
# Energy of formation from the pure elements in eV/atom: 0.189
# N(E_F) in states/eV/atom: 0.92
# Space group: R-3m
# Mass density in g/cm3: 6.2



The records above give, respectively, magnetization values of 0.00, 0.00, 2.12, 0.00, 3.01, 0.00, 0.00, 0.00, 1.00, 0.00, 1.13, 2.16, 0.00, 0.00 Bohr magnetons per cell.